No. 1
# MgZnCuRu

MgZnCuRu after structural relaxation (PBE, the Alexandria database).

```
data_MgZnCuRu
_chemical_formula_sum 'Mg1 Zn1 Cu1 Ru1'
_cell_length_a 3.447
_cell_length_b 4.018
_cell_length_c 4.095
_cell_angle_alpha 90.00
_cell_angle_beta 90.00
_cell_angle_gamma 90.00
_symmetry_space_group_name_H-M 'P 1'
_symmetry_Int_Tables_number 1
_symmetry_space_group_name_Hall 'P 1'
loop_
_atom_site_label
_atom_site_type_symbol
_atom_site_fract_x
_atom_site_fract_y
_atom_site_fract_z
Mg1 Mg 0.000 0.000 0.000
Zn1 Zn 0.000 0.500 0.500
Cu1 Cu 0.500 0.500 0.000
Ru1 Ru 0.500 0.000 0.500
```

Properties
The value obtained for the density is 7.45 g/cm³. The space group is Pmmm (47). The density of states at the Fermi level comes out at 0.403 states/eV per atom.


No. 2
# PdS2NCl

PdS2NCl after structural relaxation (PBE, the Alexandria database).

```
data_PdS2NCl
_chemical_formula_sum 'Pd1 S2 N1 Cl1'
_cell_length_a 4.714
_cell_length_b 4.714
_cell_length_c 5.129
_cell_angle_alpha 90.00
_cell_angle_beta 90.00
_cell_angle_gamma 90.00
_symmetry_space_group_name_H-M 'P 1'
_symmetry_Int_Tables_number 1
_symmetry_space_group_name_Hall 'P 1'
loop_
_atom_site_label
_atom_site_type_symbol
_atom_site_fract_x
_atom_site_fract_y
_atom_site_fract_z
Pd1 Pd 0.000 0.000 0.000
S1 S 0.000 0.500 0.000
S2 S 0.500 0.000 0.000
N1 N 0.500 0.500 0.500
Cl1 Cl 0.000 0.000 0.500
```

Properties
The uncorrected formation energy is 1.427 eV per atom. The value obtained for the density is 3.21 g/cm³. The space group is P4/mmm (123). The density of states at the Fermi level comes out at 0.371 states/eV per atom.


Ordered magnetic moment results: 0.00 5.41; unit μB/cell.
Ordered raw total energy results: -4.1540 -3.2970; unit eV per atom.
Ordered relative energy among the computed polymorphs results: 0.000 0.426; unit eV per atom.